DFT (PBE) results for an optimized crystal structure of NaGaCu.

The space group is Imm2 (No. 44) and the conventional cell measures 3.993, 15.007 and 3.992 Å, with angles of 90.00, 90.00 and 90.00 degrees. The distinct sites, in fractional coordinates, are Na at (0.000, 0.177, 0.000), Ga at (0.000, 0.397, 0.000), Cu at (0.000, 0.000, 0.503) and Cu at (0.000, 0.500, 0.501).

The calculation puts the total magnetic moment at 0.00 μB per formula unit. The raw total energy comes out at -33.9 eV per cell. The calculated volume is 239.2 Å³/cell. As for the formation energy: -0.024 eV/f.u.